# ScNiIr (PBEsol, relaxed)
data_ScNiIr
_chemical_formula_sum 'Sc2 Ni2 Ir2'
_space_group_name_H-M_alt 'I m m 2'
_space_group_IT_number 44
_cell_length_a 2.822
_cell_length_b 3.676
_cell_length_c 8.439
_cell_angle_alpha 90.00
_cell_angle_beta 90.00
_cell_angle_gamma 90.00
loop_
_space_group_symop_operation_xyz
'x,y,z'
'-x,-y,z'
'-x,y,z'
'x,-y,z'
'x+1/2,y+1/2,z+1/2'
'-x+1/2,-y+1/2,z+1/2'
'-x+1/2,y+1/2,z+1/2'
'x+1/2,-y+1/2,z+1/2'
loop_
_atom_site_label
_atom_site_type_symbol
_atom_site_fract_x
_atom_site_fract_y
_atom_site_fract_z
_atom_site_occupancy
Sc1 Sc 0.000 0.000 0.000 1
Ni1 Ni 0.000 0.000 0.315 1
Ir1 Ir 0.000 0.000 0.678 1
# - Distance to the lowest polymorph of the same formula: 0.000 eV/atom
# - DOS at the Fermi energy: 1.32 states/eV/atom
# - Raw total energy: -7.89 eV/atom